Entry 1:
DFT (PBE-GGA) results for crystalline CsRbLiZn at its relaxed geometry.

Cell: 6.5523 6.5523 5.5199 Å, 90.00 90.00 120.00°
Fractional coordinates of all 4 atoms:
Cs 0.0000 0.0000 0.0000
Rb 0.6667 0.3333 0.4467
Li 0.3333 0.6667 0.6790
Zn 0.3333 0.6667 0.1790

Calculated values
The final energy comes out at -1.10 eV/atom. The space group is No. 156. Its energy relative to the lowest polymorph listed for this composition is 39.1 meV per atom. As for the calculated formation energy: 0.150 eV per atom.


Entry 2:
DFT (PBE-GGA) results for crystalline Cs2LiRe at its relaxed geometry.

Cell: 8.7255 8.7255 8.7255 Å, 90.00 90.00 90.00°
Fractional coordinates of all 16 atoms:
Cs 0.2500 0.2500 0.2500
Cs 0.2500 0.2500 0.7500
Cs 0.2500 0.7500 0.2500
Cs 0.2500 0.7500 0.7500
Cs 0.7500 0.2500 0.2500
Cs 0.7500 0.2500 0.7500
Cs 0.7500 0.7500 0.2500
Cs 0.7500 0.7500 0.7500
Li 0.0000 0.0000 0.0000
Li 0.0000 0.5000 0.5000
Li 0.5000 0.0000 0.5000
Li 0.5000 0.5000 0.0000
Re 0.0000 0.0000 0.5000
Re 0.0000 0.5000 0.0000
Re 0.5000 0.0000 0.0000
Re 0.5000 0.5000 0.5000

Calculated values
The final energy comes out at -2.41 eV/atom. The space group is No. 225. Its energy relative to the lowest polymorph listed for this composition is 0.0 meV per atom. As for the calculated formation energy: 1.609 eV per atom.